Compound: Mg6Cd2Au
Source: Alexandria
Functional: PBE-GGA
Structure: optimized geometry

formation energy from the elements	-0.23	eV per atom
relative energy among the computed polymorphs	0	meV/atom
calculated volume	191	Å³ per cell

a b c (Å): 3.3419 8.1233 8.1235
angles (deg): 120.01 90.00 90.00
Fractional coordinates of all 9 atoms:
Mg  0.5000  0.6299  0.0000
Mg  0.0000  0.0000  0.2726
Au  0.5000  0.0000  0.0000
Cd  0.0000  0.3334  0.6667
Mg  0.5000  0.3701  0.3702
Cd  0.0000  0.6667  0.3333
Mg  0.0000  0.2725  0.0000
Mg  0.0000  0.7274  0.7274
Mg  0.5000  0.0000  0.6299